1.
# SrLiZn2F8 | the Alexandria database | PBE-GGA | relaxed
data_SrLiZn2F8
_chemical_formula_sum 'Sr1 Li1 Zn2 F8'
_symmetry_space_group_name_H-M 'P 1'
_symmetry_Int_Tables_number 1
_symmetry_space_group_name_Hall 'P 1'
_cell_length_a 4.775
_cell_length_b 5.003
_cell_length_c 7.162
_cell_angle_alpha 85.90
_cell_angle_beta 87.26
_cell_angle_gamma 83.45
loop_
_atom_site_label
_atom_site_type_symbol
_atom_site_fract_x
_atom_site_fract_y
_atom_site_fract_z
Sr1 Sr 0.000 0.000 0.000
Li1 Li 0.000 0.000 0.500
Zn1 Zn 0.483 0.475 0.708
Zn2 Zn 0.517 0.525 0.292
F1 F 0.183 0.783 0.290
F2 F 0.190 0.771 0.725
F3 F 0.323 0.303 0.488
F4 F 0.362 0.301 0.945
F5 F 0.638 0.699 0.055
F6 F 0.677 0.697 0.512
F7 F 0.810 0.229 0.275
F8 F 0.817 0.217 0.710
# Volume = 14.12 Å³ per atom
# D(E_F) = 0.40 states/eV/atom
# Spin magnetization = 1.1 μB per cell
# Symmetry = P-1 (2)
# Calculated total energy = -4.3421 eV/atom


2.
# SrLiZnF6 | the Alexandria database | PBE-GGA | relaxed
data_SrLiZnF6
_chemical_formula_sum 'Sr1 Li1 Zn1 F6'
_symmetry_space_group_name_H-M 'P 1'
_symmetry_Int_Tables_number 1
_symmetry_space_group_name_Hall 'P 1'
_cell_length_a 5.248
_cell_length_b 5.248
_cell_length_c 5.280
_cell_angle_alpha 90.00
_cell_angle_beta 90.00
_cell_angle_gamma 120.00
loop_
_atom_site_label
_atom_site_type_symbol
_atom_site_fract_x
_atom_site_fract_y
_atom_site_fract_z
Sr1 Sr 0.000 0.000 0.000
Li1 Li 0.333 0.667 0.500
Zn1 Zn 0.667 0.333 0.500
F1 F 0.374 0.008 0.714
F2 F 0.374 0.366 0.286
F3 F 0.634 0.008 0.286
F4 F 0.634 0.626 0.714
F5 F 0.992 0.366 0.714
F6 F 0.992 0.626 0.286
# Volume = 14.00 Å³ per atom
# D(E_F) = 0.62 states/eV/atom
# Spin magnetization = 1.0 μB per cell
# Symmetry = P312 (149)
# Calculated total energy = -4.5203 eV/atom


- The highest D(E_F) belongs to which entry?
  SrLiZnF6


- What is the volume in the first record?
  14.12 Å³ per atom


- Which of these has the lowest calculated total energy?
  SrLiZnF6